# 1
{
  "formula": "CsBiO",
  "functional": "PBE-GGA",
  "state": "optimized geometry",
  "lattice": [[4.539, 0.000, 0.000], [0.000, 7.409, 0.000], [0.000, 0.000, 13.630]],
  "species": ["O", "O", "O", "O", "Bi", "Bi", "Bi", "Bi", "Cs", "Cs", "Cs", "Cs"],
  "frac_coords": [[0.250, 0.321, 0.070], [0.750, 0.179, 0.570], [0.750, 0.679, 0.930], [0.250, 0.821, 0.430], [0.750, 0.959, 0.923], [0.250, 0.041, 0.077], [0.250, 0.541, 0.423], [0.750, 0.459, 0.577], [0.250, 0.467, 0.869], [0.250, 0.967, 0.631], [0.750, 0.533, 0.131], [0.750, 0.033, 0.369]],
  "e_form_raw_ev_per_atom": -0.918
}

# 2
{
  "formula": "CsBiO2",
  "functional": "PBE-GGA",
  "state": "optimized geometry",
  "lattice": [[2.219, 0.000, 7.940], [-1.109, 1.921, 7.940], [-1.109, -1.921, 7.940]],
  "species": ["O", "O", "Cs", "Bi"],
  "frac_coords": [[0.087, 0.087, 0.087], [0.913, 0.913, 0.913], [0.500, 0.500, 0.500], [0.000, 0.000, 0.000]],
  "e_form_raw_ev_per_atom": -0.554
}

# 3
{
  "formula": "Cs3Bi2O4",
  "functional": "PBE-GGA",
  "state": "optimized geometry",
  "lattice": [[-2.298, 1.094, 2.661], [4.469, -4.833, 3.299], [4.008, 9.196, -0.322]],
  "species": ["O", "O", "O", "O", "Cs", "Cs", "Cs", "Bi", "Bi"],
  "frac_coords": [[0.920, 0.840, 0.260], [0.317, 0.634, 0.958], [0.683, 0.366, 0.042], [0.080, 0.160, 0.740], [0.414, 0.827, 0.598], [0.000, 0.000, 0.000], [0.586, 0.173, 0.402], [0.306, 0.611, 0.168], [0.694, 0.389, 0.832]],
  "e_form_raw_ev_per_atom": -1.078
}

# 4
{
  "formula": "Cs4BiO5",
  "functional": "PBE-GGA",
  "state": "optimized geometry",
  "lattice": [[-0.123, 6.237, -1.534], [-6.495, 2.977, -0.827], [-0.154, 4.653, 5.482]],
  "species": ["Cs", "Cs", "Cs", "Cs", "O", "O", "O", "O", "O", "Bi"],
  "frac_coords": [[0.822, 0.799, 0.612], [0.621, 0.612, 0.201], [0.234, 0.201, 0.388], [0.434, 0.388, 0.799], [0.383, 0.000, 0.000], [0.061, 0.712, 0.144], [0.772, 0.144, 0.288], [0.916, 0.288, 0.856], [0.204, 0.856, 0.712], [0.062, 0.000, 0.000]],
  "e_form_raw_ev_per_atom": -1.122
}

Total energy per entry: -49.79; -16.87; -39.86; -43.31 eV/cell